1.
Y3Ga4Co2 | PBE | relaxed

Unit cell a=4.248 b=5.696 c=8.123 alpha=105.51 beta=90.00 gamma=111.89
Element x y z (fractional)
Ga1 0.719 0.437 0.080
Ga2 0.101 0.203 0.406
Ga3 0.899 0.797 0.594
Ga4 0.281 0.563 0.920
Co1 0.686 0.371 0.362
Co2 0.314 0.629 0.638
Y1 0.375 0.750 0.311
Y2 0.000 0.000 0.000
Y3 0.625 0.250 0.689

Density of states at the Fermi level (states/eV/cell): 6.4
Symmetry: C2/m (12)
Calculated formation energy (eV per formula unit): -4.93


2.
YGa4Co3 | PBE | relaxed

Unit cell a=4.742 b=4.742 c=6.445 alpha=90.00 beta=90.00 gamma=65.41
Element x y z (fractional)
Ga1 0.500 0.000 0.796
Ga2 0.000 0.500 0.796
Ga3 0.500 0.000 0.204
Ga4 0.000 0.500 0.204
Y1 0.000 0.000 0.500
Co1 0.000 0.000 0.000
Co2 0.500 0.500 0.823
Co3 0.500 0.500 0.177

Density of states at the Fermi level (states/eV/cell): 5.4
Symmetry: Cmmm (65)
Calculated formation energy (eV per formula unit): -0.94


3.
Y3Ga2Co | PBE | relaxed

Unit cell a=4.200 b=11.161 c=11.715 alpha=90.00 beta=90.00 gamma=90.00
Element x y z (fractional)
Ga1 0.750 0.311 0.517
Ga2 0.250 0.501 0.804
Ga3 0.250 0.811 0.983
Ga4 0.250 0.999 0.304
Ga5 0.750 0.001 0.696
Ga6 0.250 0.689 0.483
Ga7 0.750 0.499 0.196
Ga8 0.750 0.189 0.017
Y1 0.750 0.941 0.116
Y2 0.250 0.128 0.550
Y3 0.750 0.559 0.616
Y4 0.750 0.628 0.950
Y5 0.750 0.872 0.450
Y6 0.250 0.801 0.728
Y7 0.750 0.199 0.272
Y8 0.250 0.372 0.050
Y9 0.250 0.441 0.384
Y10 0.750 0.301 0.772
Y11 0.250 0.699 0.228
Y12 0.250 0.059 0.884
Co1 0.750 0.622 0.376
Co2 0.250 0.378 0.624
Co3 0.750 0.878 0.876
Co4 0.250 0.122 0.124

Density of states at the Fermi level (states/eV/cell): 28.1
Symmetry: Pnma (62)
Calculated formation energy (eV per formula unit): -3.00


4.
Y5GaCo5 | PBE | relaxed

Unit cell a=5.485 b=5.485 c=20.556 alpha=90.00 beta=90.00 gamma=136.56
Element x y z (fractional)
Y1 0.294 0.706 0.065
Y2 0.706 0.294 0.565
Y3 0.706 0.294 0.935
Y4 0.706 0.294 0.750
Y5 0.007 0.993 0.343
Y6 0.993 0.007 0.843
Y7 0.294 0.706 0.250
Y8 0.993 0.007 0.657
Y9 0.007 0.993 0.157
Y10 0.294 0.706 0.435
Co1 0.292 0.708 0.654
Co2 0.584 0.416 0.059
Co3 0.708 0.292 0.154
Co4 0.708 0.292 0.346
Co5 0.584 0.416 0.441
Co6 0.292 0.708 0.846
Co7 0.416 0.584 0.559
Co8 0.596 0.404 0.250
Co9 0.404 0.596 0.750
Co10 0.416 0.584 0.941
Ga1 0.000 0.000 0.000
Ga2 0.000 0.000 0.500

Density of states at the Fermi level (states/eV/cell): 18.5
Symmetry: Cmcm (63)
Calculated formation energy (eV per formula unit): -3.24


5.
YGa3Co | PBE | relaxed

Unit cell a=4.085 b=8.191 c=10.453 alpha=90.00 beta=90.00 gamma=90.00
Element x y z (fractional)
Y1 0.750 0.802 0.016
Y2 0.250 0.198 0.984
Y3 0.250 0.698 0.516
Y4 0.750 0.302 0.484
Ga1 0.750 0.115 0.207
Ga2 0.750 0.615 0.293
Ga3 0.750 0.644 0.719
Ga4 0.250 0.856 0.219
Ga5 0.250 0.885 0.793
Ga6 0.750 0.446 0.916
Ga7 0.750 0.144 0.781
Ga8 0.250 0.554 0.084
Ga9 0.250 0.385 0.707
Ga10 0.250 0.356 0.281
Ga11 0.750 0.946 0.584
Ga12 0.250 0.054 0.416
Co1 0.250 0.105 0.648
Co2 0.750 0.395 0.148
Co3 0.250 0.605 0.852
Co4 0.750 0.895 0.352

Density of states at the Fermi level (states/eV/cell): 8.5
Symmetry: Pnma (62)
Calculated formation energy (eV per formula unit): -2.64


6.
Y2Ga2Co | PBE | relaxed

Unit cell a=4.165 b=5.783 c=9.403 alpha=88.54 beta=77.21 gamma=68.90
Element x y z (fractional)
Ga1 0.906 0.748 0.439
Ga2 0.366 0.147 0.121
Ga3 0.094 0.252 0.561
Ga4 0.634 0.853 0.879
Co1 0.639 0.083 0.639
Co2 0.361 0.917 0.361
Y1 0.073 0.737 0.117
Y2 0.326 0.682 0.667
Y3 0.927 0.263 0.883
Y4 0.674 0.318 0.333

Density of states at the Fermi level (states/eV/cell): 7.4
Symmetry: C2/m (12)
Calculated formation energy (eV per formula unit): -2.75


7.
YGa9Co2 | PBE | relaxed

Unit cell a=6.602 b=8.380 c=8.380 alpha=81.07 beta=66.80 gamma=66.80
Element x y z (fractional)
Ga1 0.315 0.070 0.691
Ga2 0.614 0.070 0.309
Ga3 0.994 0.691 0.930
Ga4 0.136 0.430 0.191
Ga5 0.614 0.309 0.070
Ga6 0.315 0.691 0.070
Ga7 0.994 0.930 0.691
Ga8 0.435 0.430 0.809
Ga9 0.136 0.191 0.430
Ga10 0.750 0.500 0.500
Ga11 0.000 0.000 0.000
Ga12 0.076 0.309 0.930
Ga13 0.076 0.930 0.309
Ga14 0.756 0.570 0.809
Ga15 0.674 0.191 0.570
Ga16 0.674 0.570 0.191
Ga17 0.756 0.809 0.570
Ga18 0.435 0.809 0.430
Co1 0.875 0.250 0.250
Co2 0.875 0.750 0.250
Co3 0.875 0.250 0.750
Co4 0.375 0.750 0.750
Y1 0.250 0.500 0.500
Y2 0.500 0.000 0.000

Density of states at the Fermi level (states/eV/cell): 12.4
Symmetry: I4_1/amd (141)
Calculated formation energy (eV per formula unit): -2.31


8.
YGa12Co4 | PBE | relaxed

Unit cell a=7.834 b=7.834 c=7.834 alpha=109.47 beta=109.47 gamma=109.47
Element x y z (fractional)
Ga1 0.516 0.257 0.259
Ga2 0.998 0.257 0.741
Ga3 0.743 0.741 0.484
Ga4 0.257 0.259 0.516
Ga5 0.484 0.743 0.741
Ga6 0.741 0.998 0.257
Ga7 0.741 0.484 0.743
Ga8 0.257 0.741 0.998
Ga9 0.259 0.516 0.257
Ga10 0.743 0.259 0.002
Ga11 0.002 0.743 0.259
Ga12 0.259 0.002 0.743
Co1 0.500 0.000 0.000
Co2 0.500 0.500 0.500
Co3 0.000 0.500 0.000
Co4 0.000 0.000 0.500
Y1 0.000 0.000 0.000

Density of states at the Fermi level (states/eV/cell): 10.6
Symmetry: Im-3 (204)
Calculated formation energy (eV per formula unit): -2.71


9.
Y4GaCo4 | PBE | relaxed

Unit cell a=5.476 b=5.476 c=8.915 alpha=71.01 beta=71.01 gamma=43.56
Element x y z (fractional)
Co1 0.961 0.961 0.355
Co2 0.091 0.091 0.880
Co3 0.909 0.909 0.120
Co4 0.039 0.039 0.645
Y1 0.254 0.254 0.339
Y2 0.391 0.391 0.885
Y3 0.746 0.746 0.661
Y4 0.609 0.609 0.115
Ga1 0.500 0.500 0.500

Density of states at the Fermi level (states/eV/cell): 9.0
Symmetry: C2/m (12)
Calculated formation energy (eV per formula unit): -2.83


10.
Y2Ga2Co | PBE | relaxed

Unit cell a=6.886 b=6.886 c=4.316 alpha=90.00 beta=90.00 gamma=90.00
Element x y z (fractional)
Co1 0.500 0.500 0.000
Co2 0.000 0.000 0.000
Ga1 0.866 0.634 0.000
Ga2 0.366 0.866 0.000
Ga3 0.134 0.366 0.000
Ga4 0.634 0.134 0.000
Y1 0.826 0.326 0.500
Y2 0.326 0.174 0.500
Y3 0.174 0.674 0.500
Y4 0.674 0.826 0.500

Density of states at the Fermi level (states/eV/cell): 11.0
Symmetry: P4/mbm (127)
Calculated formation energy (eV per formula unit): -1.89


11.
Y3Ga7Co2 | PBE | relaxed

Unit cell a=4.492 b=4.492 c=12.303 alpha=100.52 beta=100.52 gamma=90.00
Element x y z (fractional)
Ga1 0.592 0.092 0.184
Ga2 0.908 0.408 0.816
Ga3 0.803 0.803 0.606
Ga4 0.197 0.197 0.394
Ga5 0.000 0.000 0.000
Ga6 0.408 0.908 0.816
Ga7 0.092 0.592 0.184
Co1 0.099 0.099 0.198
Co2 0.901 0.901 0.802
Y1 0.500 0.500 0.000
Y2 0.317 0.317 0.635
Y3 0.683 0.683 0.365

Density of states at the Fermi level (states/eV/cell): 7.7
Symmetry: I4/mmm (139)
Calculated formation energy (eV per formula unit): -4.41


12.
YGaCo3 | PBE | relaxed

Unit cell a=4.368 b=4.368 c=4.368 alpha=90.00 beta=90.00 gamma=90.00
Element x y z (fractional)
Co1 0.500 0.000 0.000
Co2 0.000 0.500 0.000
Co3 0.000 0.000 0.500
Y1 0.500 0.500 0.500
Ga1 0.000 0.000 0.000

Density of states at the Fermi level (states/eV/cell): 2.8
Symmetry: Pm-3m (221)
Calculated formation energy (eV per formula unit): 1.68


13.
YGaCo4 | PBE | relaxed

Unit cell a=4.901 b=4.901 c=4.901 alpha=60.00 beta=60.00 gamma=60.00
Element x y z (fractional)
Co1 0.129 0.624 0.624
Co2 0.624 0.128 0.624
Co3 0.624 0.624 0.128
Co4 0.624 0.624 0.624
Y1 0.000 0.000 0.000
Ga1 0.250 0.250 0.250

Density of states at the Fermi level (states/eV/cell): 8.2
Symmetry: F-43m (216)
Calculated formation energy (eV per formula unit): -1.02


14.
Y3Ga3Co | PBE | relaxed

Unit cell a=4.218 b=5.805 c=13.411 alpha=84.65 beta=80.95 gamma=68.69
Element x y z (fractional)
Y1 0.605 0.710 0.079
Y2 0.395 0.290 0.921
Y3 0.469 0.676 0.385
Y4 0.744 0.750 0.763
Y5 0.531 0.324 0.615
Y6 0.256 0.250 0.237
Ga1 0.146 0.249 0.458
Ga2 0.110 0.857 0.923
Ga3 0.890 0.143 0.077
Ga4 0.959 0.843 0.240
Ga5 0.041 0.157 0.760
Ga6 0.854 0.751 0.542
Co1 0.756 0.081 0.406
Co2 0.244 0.919 0.594

Density of states at the Fermi level (states/eV/cell): 10.7
Symmetry: C2/m (12)
Calculated formation energy (eV per formula unit): -4.05


15.
Y2Ga8Co | PBE | relaxed

Unit cell a=4.243 b=4.243 c=11.136 alpha=90.00 beta=90.00 gamma=90.00
Element x y z (fractional)
Co1 0.000 0.000 0.000
Ga1 0.500 0.500 0.306
Ga2 0.000 0.500 0.115
Ga3 0.500 0.000 0.500
Ga4 0.500 0.000 0.115
Ga5 0.000 0.500 0.885
Ga6 0.500 0.500 0.694
Ga7 0.000 0.500 0.500
Ga8 0.500 0.000 0.885
Y1 0.000 0.000 0.305
Y2 0.000 0.000 0.695

Density of states at the Fermi level (states/eV/cell): 4.5
Symmetry: P4/mmm (123)
Calculated formation energy (eV per formula unit): -5.37


16.
YGa2Co | PBE | relaxed

Unit cell a=4.072 b=4.072 c=5.573 alpha=68.57 beta=68.57 gamma=60.00
Element x y z (fractional)
Y1 0.000 0.000 0.000
Co1 0.500 0.500 0.500
Ga1 0.212 0.212 0.365
Ga2 0.788 0.788 0.635

Density of states at the Fermi level (states/eV/cell): 3.7
Symmetry: R-3m (166)
Calculated formation energy (eV per formula unit): -1.90


17.
Y2Ga6Co9 | PBE | relaxed

Unit cell a=5.120 b=5.120 c=11.644 alpha=90.00 beta=90.00 gamma=120.00
Element x y z (fractional)
Co1 0.000 0.500 0.500
Co2 0.500 0.500 0.500
Co3 0.500 0.500 0.831
Co4 0.000 0.500 0.169
Co5 0.500 0.000 0.500
Co6 0.500 0.000 0.169
Co7 0.500 0.500 0.169
Co8 0.500 0.000 0.831
Co9 0.000 0.500 0.831
Ga1 0.333 0.667 0.664
Ga2 0.333 0.667 0.336
Ga3 0.667 0.333 0.336
Ga4 0.333 0.667 0.000
Ga5 0.667 0.333 0.000
Ga6 0.667 0.333 0.664
Y1 0.000 0.000 0.670
Y2 0.000 0.000 0.330

Density of states at the Fermi level (states/eV/cell): 23.5
Symmetry: P6/mmm (191)
Calculated formation energy (eV per formula unit): -2.46


18.
YGa12Co6 | PBE | relaxed

Unit cell a=6.920 b=6.920 c=6.920 alpha=104.99 beta=104.99 gamma=104.99
Element x y z (fractional)
Ga1 0.147 0.413 0.413
Ga2 0.117 0.500 0.883
Ga3 0.883 0.117 0.500
Ga4 0.853 0.587 0.587
Ga5 0.500 0.883 0.117
Ga6 0.413 0.147 0.413
Ga7 0.587 0.853 0.587
Ga8 0.500 0.117 0.883
Ga9 0.883 0.500 0.117
Ga10 0.117 0.883 0.500
Ga11 0.587 0.587 0.853
Ga12 0.413 0.413 0.147
Co1 0.273 0.694 0.273
Co2 0.727 0.727 0.306
Co3 0.727 0.306 0.727
Co4 0.694 0.273 0.273
Co5 0.273 0.273 0.694
Co6 0.306 0.727 0.727
Y1 0.000 0.000 0.000

Density of states at the Fermi level (states/eV/cell): 10.1
Symmetry: R-3m (166)
Calculated formation energy (eV per formula unit): -4.27


19.
Y4Ga12Co | PBE | relaxed

Unit cell a=7.433 b=7.433 c=7.433 alpha=109.47 beta=109.47 gamma=109.47
Element x y z (fractional)
Ga1 0.750 0.500 0.250
Ga2 0.717 0.717 0.000
Ga3 0.750 0.250 0.500
Ga4 0.717 0.000 0.717
Ga5 0.250 0.750 0.500
Ga6 0.283 0.000 0.283
Ga7 0.000 0.283 0.283
Ga8 0.283 0.283 0.000
Ga9 0.000 0.717 0.717
Ga10 0.500 0.750 0.250
Ga11 0.250 0.500 0.750
Ga12 0.500 0.250 0.750
Y1 0.000 0.000 0.500
Y2 0.000 0.500 0.000
Y3 0.500 0.500 0.500
Y4 0.500 0.000 0.000
Co1 0.000 0.000 0.000

Density of states at the Fermi level (states/eV/cell): 7.6
Symmetry: Im-3m (229)
Calculated formation energy (eV per formula unit): -9.55